1.
Here is a geometry-optimized Ir3Os structure from Alexandria via LeMat-Bulk. Energies are from PBE.

formation energy from the elements	0.060	eV/atom
density	21.96	g cm⁻³

Cell: 2.7546 8.8383 4.7633 Å, 90.00 90.00 90.00°
Space group Imm2 (No. 44)
Unique sites:
Ir 0.0000 0.0000 0.0000 [2 per cell]
Ir 0.0000 0.2477 0.6647 [4 per cell]
Os 0.0000 0.5000 0.9973 [2 per cell]


2.
Here is a geometry-optimized ReIr2Os structure from Alexandria via LeMat-Bulk. Energies are from PBE.

formation energy from the elements	-0.029	eV/atom
density	21.73	g cm⁻³

Cell: 9.1217 2.7312 4.7380 Å, 90.00 99.87 90.00°
Space group C2/m (No. 12)
Unique sites:
Re 0.0000 0.0000 0.0000 [2 per cell]
Ir 0.2502 0.0000 0.7489 [4 per cell]
Os 0.0000 0.5000 0.5000 [2 per cell]


3.
Here is a geometry-optimized Os4W structure from Alexandria via LeMat-Bulk. Energies are from PBE.

formation energy from the elements	1.722	eV/atom
density	16.81	g cm⁻³
energy above the most stable polymorph in this dataset	1638	meV per atom

Cell: 5.7150 5.7150 5.7150 Å, 90.00 90.00 90.00°
Space group Im-3m (No. 229)
Unique sites:
Os 0.2500 0.2500 0.2500 [8 per cell]
W 0.0000 0.0000 0.0000 [2 per cell]


4.
Here is a geometry-optimized RbSr2Tl9 structure from Alexandria via LeMat-Bulk. Energies are from PBE.

formation energy from the elements	-0.162	eV/atom
density	8.51	g cm⁻³

Cell: 6.5551 6.5551 33.0562 Å, 90.00 90.00 120.00°
Space group R-3m (No. 166, hexagonal axes)
Unique sites:
Rb 0.0000 0.0000 0.0000 [3 per cell]
Sr 0.0000 0.0000 0.1395 [6 per cell]
Tl 0.0000 0.0000 0.3359 [6 per cell]
Tl 0.0000 0.0000 0.5000 [3 per cell]
Tl 0.0045 0.5023 0.9138 [18 per cell]


5.
Here is a geometry-optimized LaPmO3 structure from Alexandria via LeMat-Bulk. Energies are from PBE.

ΔE_f (raw)	-16.07	eV/f.u.
density	5.00	g cm⁻³

Cell: 6.2772 6.2772 3.2273 Å, 90.00 90.00 120.00°
Space group P-6m2 (No. 187)
Unique sites:
La 0.0000 0.0000 0.0000 [1 per cell]
Pm 0.3333 0.6667 0.0000 [1 per cell]
O 0.1699 0.3397 0.5000 [3 per cell]


6.
Here is a geometry-optimized SrInGaF6 structure from Alexandria via LeMat-Bulk. Energies are from PBE.

ΔE_f (raw)	-25.52	eV/f.u.
density	3.75	g cm⁻³

Cell: 5.9839 10.4018 5.4878 Å, 90.00 90.13 90.00°
Space group C2 (No. 5)
Unique sites:
Sr 0.0000 0.0000 0.0000 [2 per cell]
In 0.0000 0.6672 0.5000 [2 per cell]
Ga 0.0000 0.3328 0.0000 [2 per cell]
F 0.1256 0.1966 0.8015 [4 per cell]
F 0.1411 0.4639 0.8018 [4 per cell]
F 0.2310 0.8380 0.8021 [4 per cell]


7.
Here is a geometry-optimized Dy2MgO structure from Alexandria via LeMat-Bulk. Energies are from PBE.

ΔE_f (raw)	-3.66	eV/f.u.
density	7.72	g cm⁻³
energy above the most stable polymorph in this dataset	446	meV per atom

Cell: 3.0597 3.0597 8.3930 Å, 90.00 90.00 90.00°
Space group P4/mmm (No. 123)
Unique sites:
Dy 0.0000 0.0000 0.1842 [2 per cell]
Mg 0.5000 0.5000 0.5000 [1 per cell]
O 0.5000 0.5000 0.0000 [1 per cell]


8.
Here is a geometry-optimized YHo5Tm4 structure from Alexandria via LeMat-Bulk. Energies are from PBE.

formation energy from the elements	0.317	eV/atom
density	8.29	g cm⁻³

Cell: 10.0856 10.0856 6.2603 Å, 90.00 90.00 90.00°
Space group I4 (No. 79)
Unique sites:
Y 0.0000 0.0000 0.0000 [2 per cell]
Ho 0.0000 0.0000 0.4578 [2 per cell]
Ho 0.1439 0.7654 0.7254 [8 per cell]
Tm 0.0503 0.6519 0.2268 [8 per cell]


9.
Here is a geometry-optimized VIr2Rh6 structure from Alexandria via LeMat-Bulk. Energies are from PBE.

formation energy from the elements	-0.155	eV/atom
density	13.72	g cm⁻³
energy above the most stable polymorph in this dataset	0	meV per atom

Cell: 14.1265 2.7217 6.8160 Å, 90.00 103.55 90.00°
Space group C2/m (No. 12)
Unique sites:
V 0.0000 0.0000 0.0000 [2 per cell]
Ir 0.0910 0.5000 0.3234 [4 per cell]
Rh 0.0732 0.0000 0.6667 [4 per cell]
Rh 0.1605 0.5000 0.9952 [4 per cell]
Rh 0.2440 0.5000 0.6724 [4 per cell]


10.
Here is a geometry-optimized BC2 structure from Alexandria via LeMat-Bulk. Energies are from PBE.

formation energy from the elements	0.307	eV/atom
density	3.04	g cm⁻³
energy above the most stable polymorph in this dataset	67	meV per atom

Cell: 2.5682 2.5682 13.3229 Å, 90.00 90.00 120.00°
Space group P3m1 (No. 156)
Unique sites:
B 0.0000 0.0000 0.0000 [1 per cell]
B 0.0000 0.0000 0.4899 [1 per cell]
B 0.3333 0.6667 0.2781 [1 per cell]
B 0.6667 0.3333 0.9232 [1 per cell]
C 0.0000 0.0000 0.1191 [1 per cell]
C 0.0000 0.0000 0.6112 [1 per cell]
C 0.3333 0.6667 0.1569 [1 per cell]
C 0.3333 0.6667 0.6482 [1 per cell]
C 0.3333 0.6667 0.7662 [1 per cell]
C 0.6667 0.3333 0.3313 [1 per cell]
C 0.6667 0.3333 0.4368 [1 per cell]
C 0.6667 0.3333 0.8040 [1 per cell]


11.
Here is a geometry-optimized KZn2Mo structure from Alexandria via LeMat-Bulk. Energies are from PBE.

formation energy from the elements	0.947	eV/atom
density	3.60	g cm⁻³
energy above the most stable polymorph in this dataset	525	meV per atom

Cell: 5.1640 5.1640 18.3924 Å, 90.00 90.00 90.00°
Space group I4_1/amd (No. 141, origin choice 2)
Unique sites:
K 0.0000 0.2500 0.3750 [4 per cell]
Zn 0.0000 0.0000 0.0000 [8 per cell]
Mo 0.0000 0.2500 0.8750 [4 per cell]


12.
Here is a geometry-optimized HoZrTe4 structure from Alexandria via LeMat-Bulk. Energies are from PBE.

ΔE_f (raw)	-4.72	eV/f.u.
density	6.53	g cm⁻³
energy above the most stable polymorph in this dataset	156	meV per atom

Cell: 7.2695 7.3505 7.2978 Å, 90.00 91.68 90.00°
Space group P2_1/c (No. 14)
Unique sites:
Ho 0.0000 0.0000 0.0000 [2 per cell]
Zr 0.5000 0.0000 0.5000 [2 per cell]
Te 0.1405 0.1288 0.3832 [4 per cell]
Te 0.3716 0.6471 0.3454 [4 per cell]